VASP calculation (GGA-PBE) on a geometry-optimized Fe3OsRh6 structure.

extended XYZ file:
```
20
Lattice="8.403 0.000 0.000 0.000 3.812 0.000 -0.157 0.000 8.523" Properties=species:S:1:pos:R:3 pbc="T T T"
Fe 0.348 0.953 3.389
Fe 1.192 2.859 1.690
Fe 1.913 0.953 8.510
Fe 6.333 2.859 0.013
Fe 7.053 0.953 6.833
Fe 7.897 2.859 5.134
Os 3.708 0.953 5.065
Os 4.537 2.859 3.458
Rh 0.269 2.859 7.664
Rh 1.123 0.953 5.926
Rh 1.991 2.859 4.230
Rh 2.863 0.953 2.534
Rh 2.795 2.859 6.826
Rh 3.730 2.859 0.851
Rh 4.516 0.953 7.672
Rh 5.450 0.953 1.697
Rh 5.382 2.859 5.988
Rh 6.254 0.953 4.293
Rh 7.122 2.859 2.597
Rh 7.977 0.953 0.859
```

Energy relative to the elements (eV/atom): -0.004
Calculated density (g/cm³): 11.86
Crystal system: monoclinic
V (Å³/atom): 13.7
DOS(E_F) (states/eV/f.u.): 11.23